3
Lattice="4.923 0.000 0.000 -2.461 4.263 0.000 0.000 0.000 3.573" Properties=species:S:1:pos:R:3 comment="LaZnCd PBE relaxed" formation_enthalpy_0k_mev_per_atom=-337 spacegroup=P-6m2 m_tot_mub_per_cell=0.00 pbc="T T T"
La 0.000 0.000 0.000
Zn 2.461 1.421 1.786
Cd 0.000 2.842 1.786


10
Lattice="5.225 0.000 0.000 -2.612 4.525 0.000 0.000 0.000 5.168" Properties=species:S:1:pos:R:3 comment="Na2MgH6Ir PBE relaxed" spacegroup=P-3m1 e_tot_ev_per_atom=-3.60 m_tot_mub_per_cell=0.00 pbc="T T T"
Na 0.000 3.016 1.756
Na 2.612 1.508 3.412
Mg 0.000 0.000 0.000
H 0.000 1.391 3.584
H -1.408 3.829 3.584
H 1.204 0.695 1.585
H 1.408 3.829 3.584
H 4.020 0.695 1.585
H 2.612 3.134 1.585
Ir 0.000 0.000 2.584


11
Lattice="7.757 0.000 0.000 0.000 4.866 0.000 -0.049 0.000 9.119" Properties=species:S:1:pos:R:3 comment="Sr4In5Ge2 PBE relaxed" formation_enthalpy_0k_mev_per_atom=-409 spacegroup=P2/m m_tot_mub_per_cell=0.00 pbc="T T T"
Sr 1.634 0.000 3.229
Sr 1.772 0.000 8.196
Sr 5.935 0.000 0.923
Sr 6.074 0.000 5.890
In 0.999 2.433 5.688
In 3.418 2.433 1.425
In 3.854 2.433 4.559
In 4.289 2.433 7.694
In 6.708 2.433 3.431
Ge 0.563 2.433 1.154
Ge 7.145 2.433 7.965


12
Lattice="4.534 0.000 0.000 0.000 6.446 0.000 0.000 0.000 13.681" Properties=species:S:1:pos:R:3 comment="ErTh2Bi3 PBE relaxed" formation_enthalpy_0k_mev_per_atom=-636 spacegroup=Immm m_tot_mub_per_cell=0.01 pbc="T T T"
Er 0.000 0.000 0.000
Er 2.267 3.223 6.840
Th 0.000 0.000 4.528
Th 0.000 0.000 9.153
Th 2.267 3.223 2.313
Th 2.267 3.223 11.368
Bi 0.000 3.223 0.000
Bi 0.000 3.223 4.659
Bi 0.000 3.223 9.022
Bi 2.267 0.000 2.181
Bi 2.267 0.000 6.840
Bi 2.267 0.000 11.500


16
Lattice="6.180 0.000 0.000 0.000 6.180 0.000 0.000 0.000 6.180" Properties=species:S:1:pos:R:3 comment="GaFe2Bi PBE relaxed" formation_enthalpy_0k_mev_per_atom=478 spacegroup=Fm-3m m_tot_mub_per_cell=0.00 pbc="T T T"
Ga 0.000 0.000 0.000
Ga 0.000 3.090 3.090
Ga 3.090 0.000 3.090
Ga 3.090 3.090 0.000
Fe 1.545 1.545 1.545
Fe 1.545 1.545 4.635
Fe 1.545 4.635 1.545
Fe 1.545 4.635 4.635
Fe 4.635 1.545 1.545
Fe 4.635 1.545 4.635
Fe 4.635 4.635 1.545
Fe 4.635 4.635 4.635
Bi 0.000 0.000 3.090
Bi 0.000 3.090 0.000
Bi 3.090 0.000 0.000
Bi 3.090 3.090 3.090


12
Lattice="3.489 0.000 0.000 -1.745 3.022 0.000 0.000 0.000 28.080" Properties=species:S:1:pos:R:3 comment="NdSc2Cu PBE relaxed" formation_enthalpy_0k_mev_per_atom=60 spacegroup=R3m m_tot_mub_per_cell=0.00 relative_energy_mev_per_atom=143.0 pbc="T T T"
Nd 0.000 0.000 0.000
Nd 0.000 2.015 18.720
Nd 1.745 1.007 9.360
Sc 0.000 0.000 15.781
Sc 0.000 0.000 21.540
Sc 0.000 2.015 6.421
Sc 0.000 2.015 12.180
Sc 1.745 1.007 2.820
Sc 1.745 1.007 25.141
Cu 0.000 0.000 4.600
Cu 0.000 2.015 23.319
Cu 1.745 1.007 13.960


14
Lattice="5.574 -2.100 0.000 5.574 2.100 0.000 -4.605 0.000 13.977" Properties=species:S:1:pos:R:3 comment="Sm3Ga3Os PBE relaxed" formation_enthalpy_0k_mev_per_atom=-489 spacegroup=C2/m m_tot_mub_per_cell=0.00 pbc="T T T"
Sm -1.472 0.000 5.367
Sm -2.994 0.000 12.873
Sm 1.580 0.000 3.338
Sm 4.963 0.000 10.639
Sm 9.537 0.000 1.103
Sm 8.015 0.000 8.610
Ga 1.722 0.000 6.463
Ga 0.145 0.000 12.942
Ga 1.686 0.000 10.760
Ga 4.857 0.000 3.217
Ga 6.398 0.000 1.035
Ga 4.821 0.000 7.514
Os 0.138 0.000 8.613
Os 6.405 0.000 5.364


5
Lattice="4.048 0.000 0.000 0.000 4.048 0.000 0.000 0.000 4.048" Properties=species:S:1:pos:R:3 comment="HgAuO3 PBE relaxed" spacegroup=Pm-3m e_tot_ev_per_atom=-3.30 m_tot_mub_per_cell=0.00 pbc="T T T"
Hg 0.000 0.000 0.000
Au 2.024 2.024 2.024
O 0.000 2.024 2.024
O 2.024 0.000 2.024
O 2.024 2.024 0.000


10
Lattice="6.779 0.000 0.000 0.000 6.779 0.000 0.000 0.000 4.441" Properties=species:S:1:pos:R:3 comment="Ca2PPt2 PBE relaxed" formation_enthalpy_0k_mev_per_atom=-711 spacegroup=P4/mbm m_tot_mub_per_cell=0.00 relative_energy_mev_per_atom=270.1 pbc="T T T"
Ca 1.154 2.235 0.000
Ca 2.235 5.624 0.000
Ca 4.544 1.154 0.000
Ca 5.624 4.544 0.000
P 0.000 0.000 2.220
P 3.389 3.389 2.220
Pt 0.995 4.385 2.220
Pt 2.394 0.995 2.220
Pt 4.385 5.783 2.220
Pt 5.783 2.394 2.220


16
Lattice="11.507 0.000 0.000 0.000 3.575 6.192 0.000 -3.575 6.192" Properties=species:S:1:pos:R:3 comment="Tb14SmEr PBE relaxed" formation_enthalpy_0k_mev_per_atom=0 spacegroup=Amm2 m_tot_mub_per_cell=0.00 pbc="T T T"
Tb 0.000 0.000 12.379
Tb 0.000 1.785 9.286
Tb 0.000 -1.785 9.286
Tb 0.000 0.000 6.192
Tb 2.865 0.000 4.126
Tb 2.874 -1.785 7.220
Tb 2.874 1.785 7.220
Tb 2.885 0.000 10.314
Tb 5.754 -1.785 5.154
Tb 5.754 1.785 5.154
Tb 8.622 0.000 10.314
Tb 8.633 -1.785 7.220
Tb 8.633 1.785 7.220
Tb 8.642 0.000 4.126
Sm 5.754 0.000 2.060
Er 5.754 0.000 8.250


4
Lattice="3.685 0.000 0.000 0.000 3.685 0.000 0.000 0.000 6.424" Properties=species:S:1:pos:R:3 comment="CdAs2P PBE relaxed" formation_enthalpy_0k_mev_per_atom=111 spacegroup=P4mm m_tot_mub_per_cell=0.00 relative_energy_mev_per_atom=0.0 pbc="T T T"
Cd 0.000 0.000 0.000
As 0.000 0.000 2.680
As 1.842 1.842 5.432
P 1.842 1.842 3.124


10
Lattice="3.024 0.000 0.000 0.000 3.024 0.000 0.000 0.000 10.315" Properties=species:S:1:pos:R:3 comment="CuH2Rh2 PBE relaxed" spacegroup=I4/mmm m_tot_mub_per_cell=0.08 relative_energy_mev_per_atom=0.0 pbc="T T T"
Cu 0.000 0.000 0.000
Cu 1.512 1.512 5.158
H 0.000 1.512 2.579
H 0.000 1.512 7.736
H 1.512 0.000 2.579
H 1.512 0.000 7.736
Rh 0.000 0.000 3.649
Rh 0.000 0.000 6.666
Rh 1.512 1.512 1.509
Rh 1.512 1.512 8.807


26
Lattice="11.668 0.000 0.000 0.000 20.722 0.000 0.000 0.000 3.621" Properties=species:S:1:pos:R:3 comment="La5Tb2Er6 PBE relaxed" formation_enthalpy_0k_mev_per_atom=97 spacegroup=Pbam m_tot_mub_per_cell=0.00 pbc="T T T"
La 0.000 0.000 0.000
La 0.901 5.618 0.000
La 2.331 11.349 0.000
La 3.503 0.988 0.000
La 4.932 15.980 0.000
La 5.834 10.361 0.000
La 6.735 4.743 0.000
La 8.164 19.735 0.000
La 9.337 9.374 0.000
La 10.766 15.104 0.000
Tb 2.038 14.717 1.810
Tb 3.796 4.355 1.810
Tb 7.871 16.367 1.810
Tb 9.630 6.006 1.810
Er 0.730 8.661 1.810
Er 0.919 2.714 1.810
Er 2.068 17.826 0.000
Er 3.766 7.465 0.000
Er 4.915 13.075 1.810
Er 5.104 19.022 1.810
Er 6.564 1.700 1.810
Er 6.753 7.648 1.810
Er 7.902 13.258 0.000
Er 9.600 2.896 0.000
Er 10.748 18.009 1.810
Er 10.937 12.061 1.810


12
Lattice="3.379 0.000 0.000 -1.689 2.926 0.000 0.000 0.000 16.401" Properties=species:S:1:pos:R:3 comment="HoReB2 PBE relaxed" formation_enthalpy_0k_mev_per_atom=-121 spacegroup=R-3m m_tot_mub_per_cell=0.00 pbc="T T T"
Ho 0.000 0.000 0.000
Ho 0.000 1.951 10.934
Ho 1.690 0.975 5.467
Re 0.000 0.000 8.201
Re 0.000 1.951 2.734
Re 1.690 0.975 13.668
B 0.000 0.000 3.791
B 0.000 0.000 12.610
B 0.000 1.951 7.143
B 0.000 1.951 14.725
B 1.690 0.975 1.676
B 1.690 0.975 9.258


5
Lattice="3.376 0.000 0.000 0.000 3.376 0.000 0.000 0.000 3.376" Properties=species:S:1:pos:R:3 comment="CrPH3 PBE relaxed" spacegroup=Pm-3m m_tot_mub_per_cell=1.89 relative_energy_mev_per_atom=0.0 pbc="T T T"
Cr 0.000 0.000 0.000
P 1.688 1.688 1.688
H 0.000 0.000 1.688
H 0.000 1.688 0.000
H 1.688 0.000 0.000


11
Lattice="5.045 -5.751 0.000 5.045 5.751 0.000 -1.657 0.000 7.979" Properties=species:S:1:pos:R:3 comment="CaP2Br8 PBE relaxed" spacegroup=C2/m e_tot_ev_per_atom=-3.07 m_tot_mub_per_cell=0.00 pbc="T T T"
Ca 0.000 0.000 0.000
P 0.924 0.000 4.998
P 7.509 0.000 2.982
Br 3.283 3.941 1.746
Br 1.951 0.000 1.945
Br 5.150 3.941 6.233
Br 3.043 0.000 5.641
Br 5.389 0.000 2.338
Br 3.283 -3.941 1.746
Br 6.481 0.000 6.034
Br 5.150 -3.941 6.233


16
Lattice="5.121 0.000 0.000 0.000 6.533 0.000 0.000 0.000 19.216" Properties=species:S:1:pos:R:3 comment="KRb3Se4 PBE relaxed" spacegroup=Immm e_tot_ev_per_atom=-3.12 m_tot_mub_per_cell=0.00 pbc="T T T"
K 0.000 0.000 0.000
K 2.561 3.267 9.608
Rb 0.000 0.000 9.608
Rb 0.000 3.267 5.695
Rb 0.000 3.267 13.521
Rb 2.561 0.000 3.913
Rb 2.561 0.000 15.303
Rb 2.561 3.267 0.000
Se 0.000 2.057 2.425
Se 0.000 2.057 16.791
Se 0.000 4.477 2.425
Se 0.000 4.477 16.791
Se 2.561 1.210 7.183
Se 2.561 1.210 12.033
Se 2.561 5.323 7.183
Se 2.561 5.323 12.033


4
Lattice="4.208 0.000 0.000 0.000 4.208 0.000 0.000 0.000 4.119" Properties=species:S:1:pos:R:3 comment="Mg2NiSb PBE relaxed" spacegroup=P4/mmm e_tot_ev_per_atom=-3.42 m_tot_mub_per_cell=0.00 pbc="T T T"
Mg 0.000 2.104 0.000
Mg 2.104 0.000 0.000
Ni 0.000 0.000 2.060
Sb 2.104 2.104 2.060


20
Lattice="4.930 -8.671 0.000 4.930 8.671 0.000 -0.239 0.000 7.072" Properties=species:S:1:pos:R:3 comment="Te3PdBr PBE relaxed" spacegroup=C2/c m_tot_mub_per_cell=0.00 relative_energy_mev_per_atom=0.0 pbc="T T T"
Te 3.524 5.530 6.227
Te 1.190 1.070 4.251
Te 3.328 3.568 2.878
Te 1.309 -1.070 0.715
Te 5.977 5.530 4.381
Te 6.411 3.568 0.658
Te 3.209 -3.568 6.414
Te 3.643 -5.530 2.691
Te 8.311 1.070 6.357
Te 6.292 -3.568 4.194
Te 8.430 -1.070 2.821
Te 6.097 -5.530 0.845
Pd 4.750 7.713 5.304
Pd 4.870 5.537 1.768
Pd 4.750 -5.537 5.304
Pd 4.870 -7.713 1.768
Br 3.351 1.693 6.863
Br 3.470 -1.693 3.327
Br 6.150 1.693 3.744
Br 6.269 -1.693 0.209


16
Lattice="5.367 0.000 0.000 0.000 5.367 0.000 0.000 0.000 5.367" Properties=species:S:1:pos:R:3 comment="ErH4Rh3 PBE relaxed" spacegroup=Pm-3n e_tot_ev_per_atom=-5.33 m_tot_mub_per_cell=0.00 pbc="T T T"
Er 0.000 0.000 0.000
Er 2.684 2.684 2.684
H 1.342 1.342 1.342
H 1.342 1.342 4.025
H 1.342 4.025 1.342
H 1.342 4.025 4.025
H 4.025 1.342 1.342
H 4.025 1.342 4.025
H 4.025 4.025 1.342
H 4.025 4.025 4.025
Rh 0.000 1.342 2.684
Rh 0.000 4.025 2.684
Rh 1.342 2.684 0.000
Rh 2.684 0.000 1.342
Rh 2.684 0.000 4.025
Rh 4.025 2.684 0.000